Entry 1:
# Tl2CdTe (GGA-PBE, relaxed)
# V (Å³/cell): 251
# Excess energy over the best structure of this formula in the dataset (meV/atom): 19.4
data_Tl2CdTe
_cell_length_a 4.258
_cell_length_b 5.488
_cell_length_c 10.723
_cell_angle_alpha 90.00
_cell_angle_beta 90.00
_cell_angle_gamma 90.00
_symmetry_space_group_name_H-M 'I m m 2'
_symmetry_Int_Tables_number 44
_symmetry_space_group_name_Hall 'I 2 -2'
loop_
_atom_site_label
_atom_site_type_symbol
_atom_site_fract_x
_atom_site_fract_y
_atom_site_fract_z
_atom_site_occupancy
Tl1 Tl 0.000 0.000 0.000 1
Tl2 Tl 0.000 0.500 0.221 1
Cd1 Cd 0.000 0.500 0.759 1
Te1 Te 0.000 0.000 0.464 1

=====

Entry 2:
# TlCd2Te (GGA-PBE, relaxed)
# V (Å³/cell): 330
# Excess energy over the best structure of this formula in the dataset (meV/atom): 172.8
data_TlCd2Te
_cell_length_a 3.3037
_cell_length_b 3.3037
_cell_length_c 34.9282
_cell_angle_alpha 90.00
_cell_angle_beta 90.00
_cell_angle_gamma 120.00
_symmetry_space_group_name_H-M 'R -3 m'
_symmetry_Int_Tables_number 166
_symmetry_space_group_name_Hall '-R 3 2"'
loop_
_atom_site_label
_atom_site_type_symbol
_atom_site_fract_x
_atom_site_fract_y
_atom_site_fract_z
_atom_site_occupancy
Tl1 Tl 0.0000 0.0000 0.0000 1
Cd1 Cd 0.0000 0.0000 0.2533 1
Te1 Te 0.0000 0.0000 0.5000 1

=====

Entry 3:
# TlCd2Te (GGA-PBE, relaxed)
# V (Å³/cell): 469
# Excess energy over the best structure of this formula in the dataset (meV/atom): 67.3
data_TlCd2Te
_cell_length_a 7.771
_cell_length_b 7.771
_cell_length_c 7.771
_cell_angle_alpha 90.00
_cell_angle_beta 90.00
_cell_angle_gamma 90.00
_symmetry_space_group_name_H-M 'F -4 3 m'
_symmetry_Int_Tables_number 216
_symmetry_space_group_name_Hall 'F -4 2 3'
loop_
_atom_site_label
_atom_site_type_symbol
_atom_site_fract_x
_atom_site_fract_y
_atom_site_fract_z
_atom_site_occupancy
Tl1 Tl 0.000 0.000 0.000 1
Cd1 Cd 0.000 0.000 0.500 1
Cd2 Cd 0.250 0.250 0.750 1
Te1 Te 0.250 0.250 0.250 1

=====

Entry 4:
# TlCd2Te2 (GGA-PBE, relaxed)
# V (Å³/cell): 319
# Excess energy over the best structure of this formula in the dataset (meV/atom): 37.5
data_TlCd2Te2
_cell_length_a 5.649
_cell_length_b 5.649
_cell_length_c 10.000
_cell_angle_alpha 90.00
_cell_angle_beta 90.00
_cell_angle_gamma 90.00
_symmetry_space_group_name_H-M 'I 4/m m m'
_symmetry_Int_Tables_number 139
_symmetry_space_group_name_Hall '-I 4 2'
loop_
_atom_site_label
_atom_site_type_symbol
_atom_site_fract_x
_atom_site_fract_y
_atom_site_fract_z
_atom_site_occupancy
Tl1 Tl 0.000 0.000 0.000 1
Cd1 Cd 0.000 0.000 0.358 1
Te1 Te 0.000 0.500 0.250 1

=====

Question: Which of these has the highest V?
Answer: number 3